Compound: Sc2RePtS
Source: the Alexandria database
Functional: PBEsol
Structure: optimized geometry

a b c (Å): 4.2254 4.6552 4.6552
angles (deg): 90.00 90.00 90.00
Closest atoms and distances in Å follow each position.
Positions (direct):
Re 0.5000 0.0000 0.0000  2 S 2.11
Sc 0.0000 0.5000 0.0000  2 S 2.33
Pt 0.5000 0.5000 0.5000  8 Sc 3.14, 4 Re 3.29
S 0.0000 0.0000 0.0000  2 Re 2.11, 4 Sc 2.33
Sc 0.0000 0.0000 0.5000  2 S 2.33

Computed properties:
total magnetization = 0.0 μB per formula unit
total DFT energy (no corrections) = -39.43 eV for the cell shown
formation energy (no corrections) = -308 meV per atom



Compound: CoRe2O6
Source: the Alexandria database
Functional: PBEsol
Structure: optimized geometry

a b c (Å): 4.6391 4.6391 8.3531
angles (deg): 90.00 90.00 90.00
Closest atoms and distances in Å follow each position.
Positions (direct):
Co 0.5000 0.5000 0.5000  6 O 1.80-1.94
O 0.2043 0.2043 0.1687  2 Re 1.94-2.00, 1 Co 1.94
O 0.2957 0.7043 0.6687  2 Re 1.94-2.00, 1 Co 1.94
Re 0.0000 0.0000 0.3469  6 O 1.94-2.00
O 0.7043 0.2957 0.6687  2 Re 1.94-2.00, 1 Co 1.94
O 0.7043 0.2957 0.3313  2 Re 1.94-2.00, 1 Co 1.94
O 0.7957 0.7957 0.1687  2 Re 1.94-2.00, 1 Co 1.94
O 0.2043 0.2043 0.8313  2 Re 1.94-2.00, 1 Co 1.94
Re 0.5000 0.5000 0.1531  6 O 1.94-2.00
Re 0.0000 0.0000 0.6531  6 O 1.94-2.00
Re 0.5000 0.5000 0.8469  6 O 1.94-2.00
O 0.2737 0.7263 0.0000  1 Co 1.80, 2 Re 1.96
O 0.7957 0.7957 0.8313  2 Re 1.94-2.00, 1 Co 1.94
O 0.7263 0.2737 0.0000  1 Co 1.80, 2 Re 1.96
Co 0.0000 0.0000 0.0000  6 O 1.80-1.94
O 0.7737 0.7737 0.5000  1 Co 1.80, 2 Re 1.96
O 0.2263 0.2263 0.5000  1 Co 1.80, 2 Re 1.96
O 0.2957 0.7043 0.3313  2 Re 1.94-2.00, 1 Co 1.94

Computed properties:
total magnetization = 0.0 μB per formula unit
total DFT energy (no corrections) = -156.93 eV for the cell shown
formation energy (no corrections) = -1396 meV per atom



What did the first record say?
Compound: Sc2RePtS
Source: the Alexandria database
Functional: PBEsol
Structure: optimized geometry

a b c (Å): 4.2254 4.6552 4.6552
angles (deg): 90.00 90.00 90.00
Closest atoms and distances in Å follow each position.
Positions (direct):
Re 0.5000 0.0000 0.0000  2 S 2.11
Sc 0.0000 0.5000 0.0000  2 S 2.33
Pt 0.5000 0.5000 0.5000  8 Sc 3.14, 4 Re 3.29
S 0.0000 0.0000 0.0000  2 Re 2.11, 4 Sc 2.33
Sc 0.0000 0.0000 0.5000  2 S 2.33

Computed properties:
total magnetization = 0.0 μB per formula unit
total DFT energy (no corrections) = -39.43 eV for the cell shown
formation energy (no corrections) = -308 meV per atom